Computed, not measured: a geometry-optimized CaCoTc2 structure at the GGA-PBE level of DFT.

Lattice parameters (Å, degrees): 4.4442 4.4442 4.4442 60.00 60.00 60.00
Last column: nearest neighbours and their distance in Å.
Positions (direct):
Ca 0.0000 0.0000 0.0000  8 Tc 2.72
Co 0.5000 0.5000 0.5000  8 Tc 2.72
Tc 0.2500 0.2500 0.2500  4 Co 2.72, 4 Ca 2.72
Tc 0.7500 0.7500 0.7500  4 Co 2.72, 4 Ca 2.72

Computed properties:
The value obtained for the formation energy is 3.46 eV/f.u. As for the crystal system: cubic.